Record 1
YCdSeF2 | PBE | relaxed

Its crystal system is tetragonal. As for the total energy: -0.394 Ry/atom. As for the space group: P4/mmm.

```
data_YCdSeF2
_cell_length_a 4.377
_cell_length_b 4.377
_cell_length_c 5.801
_cell_angle_alpha 90.00
_cell_angle_beta 90.00
_cell_angle_gamma 90.00
_space_group_name_H-M_alt 'P 1'
_space_group_IT_number 1
loop_
_space_group_symop_operation_xyz
'x,y,z'
loop_
_atom_site_label
_atom_site_fract_x
_atom_site_fract_y
_atom_site_fract_z
Y1 0.000 0.000 0.000
Cd1 0.500 0.500 0.500
Se1 0.000 0.000 0.500
F1 0.000 0.500 0.000
F2 0.500 0.000 0.000
```

Record 2
CdSi3F | PBE | relaxed

Its crystal system is cubic. As for the total energy: -0.251 Ry/atom. As for the space group: Pm-3m.

```
data_CdSi3F
_cell_length_a 4.505
_cell_length_b 4.505
_cell_length_c 4.505
_cell_angle_alpha 90.00
_cell_angle_beta 90.00
_cell_angle_gamma 90.00
_space_group_name_H-M_alt 'P 1'
_space_group_IT_number 1
loop_
_space_group_symop_operation_xyz
'x,y,z'
loop_
_atom_site_label
_atom_site_fract_x
_atom_site_fract_y
_atom_site_fract_z
Cd1 0.000 0.000 0.000
Si1 0.000 0.500 0.500
Si2 0.500 0.000 0.500
Si3 0.500 0.500 0.000
F1 0.500 0.500 0.500
```

Record 3
CdSiF3 | PBE | relaxed

Its crystal system is cubic. As for the total energy: -0.282 Ry/atom. As for the space group: Pm-3m.

```
data_CdSiF3
_cell_length_a 4.260
_cell_length_b 4.260
_cell_length_c 4.260
_cell_angle_alpha 90.00
_cell_angle_beta 90.00
_cell_angle_gamma 90.00
_space_group_name_H-M_alt 'P 1'
_space_group_IT_number 1
loop_
_space_group_symop_operation_xyz
'x,y,z'
loop_
_atom_site_label
_atom_site_fract_x
_atom_site_fract_y
_atom_site_fract_z
Cd1 0.000 0.000 0.000
Si1 0.500 0.500 0.500
F1 0.000 0.500 0.500
F2 0.500 0.000 0.500
F3 0.500 0.500 0.000
```

Record 4
Cd3SiF | PBE | relaxed

Its crystal system is cubic. As for the total energy: -0.159 Ry/atom. As for the space group: Pm-3m.

```
data_Cd3SiF
_cell_length_a 5.155
_cell_length_b 5.155
_cell_length_c 5.155
_cell_angle_alpha 90.00
_cell_angle_beta 90.00
_cell_angle_gamma 90.00
_space_group_name_H-M_alt 'P 1'
_space_group_IT_number 1
loop_
_space_group_symop_operation_xyz
'x,y,z'
loop_
_atom_site_label
_atom_site_fract_x
_atom_site_fract_y
_atom_site_fract_z
Cd1 0.000 0.000 0.500
Cd2 0.000 0.500 0.000
Cd3 0.500 0.000 0.000
Si1 0.000 0.000 0.000
F1 0.500 0.500 0.500
```

Record 5
CdSiF6 | PBE | relaxed

Its crystal system is trigonal. As for the total energy: -0.367 Ry/atom. As for the space group: P-31c.

```
data_CdSiF6
_cell_length_a 5.059
_cell_length_b 5.059
_cell_length_c 9.374
_cell_angle_alpha 90.00
_cell_angle_beta 90.00
_cell_angle_gamma 120.00
_space_group_name_H-M_alt 'P 1'
_space_group_IT_number 1
loop_
_space_group_symop_operation_xyz
'x,y,z'
loop_
_atom_site_label
_atom_site_fract_x
_atom_site_fract_y
_atom_site_fract_z
Cd1 0.333 0.667 0.250
Cd2 0.667 0.333 0.750
Si1 0.000 0.000 0.000
Si2 0.000 0.000 0.500
F1 0.005 0.280 0.106
F2 0.005 0.725 0.394
F3 0.275 0.280 0.394
F4 0.275 0.995 0.106
F5 0.280 0.005 0.606
F6 0.280 0.275 0.894
F7 0.720 0.725 0.106
F8 0.720 0.995 0.394
F9 0.725 0.005 0.894
F10 0.725 0.720 0.606
F11 0.995 0.275 0.606
F12 0.995 0.720 0.894
```

Record 6
CdSiF3 | PBE | relaxed

Its crystal system is cubic. As for the total energy: -0.257 Ry/atom. As for the space group: Pm-3m.

```
data_CdSiF3
_cell_length_a 4.287
_cell_length_b 4.287
_cell_length_c 4.287
_cell_angle_alpha 90.00
_cell_angle_beta 90.00
_cell_angle_gamma 90.00
_space_group_name_H-M_alt 'P 1'
_space_group_IT_number 1
loop_
_space_group_symop_operation_xyz
'x,y,z'
loop_
_atom_site_label
_atom_site_fract_x
_atom_site_fract_y
_atom_site_fract_z
Cd1 0.000 0.000 0.000
Si1 0.500 0.500 0.500
F1 0.000 0.000 0.500
F2 0.000 0.500 0.000
F3 0.500 0.000 0.000
```

Record 7
CdSi3F | PBE | relaxed

Its crystal system is cubic. As for the total energy: -0.201 Ry/atom. As for the space group: Pm-3m.

```
data_CdSi3F
_cell_length_a 5.049
_cell_length_b 5.049
_cell_length_c 5.049
_cell_angle_alpha 90.00
_cell_angle_beta 90.00
_cell_angle_gamma 90.00
_space_group_name_H-M_alt 'P 1'
_space_group_IT_number 1
loop_
_space_group_symop_operation_xyz
'x,y,z'
loop_
_atom_site_label
_atom_site_fract_x
_atom_site_fract_y
_atom_site_fract_z
Cd1 0.000 0.000 0.000
Si1 0.000 0.000 0.500
Si2 0.000 0.500 0.000
Si3 0.500 0.000 0.000
F1 0.500 0.500 0.500
```

Record 8
CdSi2TeF | PBE | relaxed

Its crystal system is tetragonal. As for the total energy: -0.221 Ry/atom. As for the space group: P4/mmm.

```
data_CdSi2TeF
_cell_length_a 5.273
_cell_length_b 5.273
_cell_length_c 4.331
_cell_angle_alpha 90.00
_cell_angle_beta 90.00
_cell_angle_gamma 90.00
_space_group_name_H-M_alt 'P 1'
_space_group_IT_number 1
loop_
_space_group_symop_operation_xyz
'x,y,z'
loop_
_atom_site_label
_atom_site_fract_x
_atom_site_fract_y
_atom_site_fract_z
Cd1 0.000 0.000 0.000
Si1 0.000 0.500 0.500
Si2 0.500 0.000 0.500
Te1 0.500 0.500 0.500
F1 0.500 0.500 0.000
```